(1)
Entry from Alexandria via LeMat-Bulk: crystalline TlSeN2F at its relaxed geometry (PBE).

Values from the calculation:
Electronic total energy, eV for the cell shown: -15.97
Symmetry: No. 123
N(E_F), states/eV per cell: 2.736
ΔE to the lowest computed polymorph, eV per atom: 0.955

Cell lengths 5.0627, 5.0627, 4.0739 Å; angles 90.00, 90.00, 90.00 degrees
Last column: nearest neighbours and their distance in Å.
Element x y z (fractional)
F (0.0000, 0.0000, 0.0000)  2 Se 2.04
N (0.5000, 0.0000, 0.0000)  2 F 2.53
N (0.0000, 0.5000, 0.0000)  2 F 2.53
Se (0.0000, 0.0000, 0.5000)  2 F 2.04
Tl (0.5000, 0.5000, 0.5000)  8 N 3.25, 4 Se 3.58

(2)
Entry from Alexandria via LeMat-Bulk: crystalline TlSeN2F at its relaxed geometry (PBE).

Values from the calculation:
Electronic total energy, eV for the cell shown: -20.74
Symmetry: No. 123
N(E_F), states/eV per cell: 2.446
ΔE to the lowest computed polymorph, eV per atom: 0.000

Cell lengths 3.7974, 3.7974, 5.5497 Å; angles 90.00, 90.00, 90.00 degrees
Last column: nearest neighbours and their distance in Å.
Element x y z (fractional)
Tl (0.5000, 0.5000, 0.5000)  4 F 2.69
F (0.0000, 0.0000, 0.5000)  4 Tl 2.69, 2 Se 2.77
N (0.0000, 0.5000, 0.0000)  2 Se 1.90
N (0.5000, 0.0000, 0.0000)  2 Se 1.90
Se (0.0000, 0.0000, 0.0000)  4 N 1.90

(3)
Entry from Alexandria via LeMat-Bulk: crystalline TlSeNF2 at its relaxed geometry (PBE).

Values from the calculation:
Electronic total energy, eV for the cell shown: -20.16
Symmetry: No. 123
N(E_F), states/eV per cell: 0.699
ΔE to the lowest computed polymorph, eV per atom: 0.000

Cell lengths 4.7589, 4.7589, 3.6829 Å; angles 90.00, 90.00, 90.00 degrees
Last column: nearest neighbours and their distance in Å.
Element x y z (fractional)
Se (0.0000, 0.0000, 0.0000)  2 N 1.84
N (0.0000, 0.0000, 0.5000)  2 Se 1.84
F (0.5000, 0.0000, 0.0000)  2 Se 2.38
F (0.0000, 0.5000, 0.0000)  2 Se 2.38
Tl (0.5000, 0.5000, 0.5000)  8 F 3.01, 4 N 3.37

Question: What is the ΔE to the lowest computed polymorph in the third record?
Answer: 0.000 eV per atom